# 1
Density functional theory data (GGA-PBE) for an optimized crystal structure of LiAgTe.

Cell: 4.0168 4.0168 8.1886 Å, 90.00 90.00 90.00°
Closest atoms and distances in Å follow each position.
Sites, in units of the cell vectors:
Li 0.0000 0.0000 0.0000  1 Ag 2.65, 1 Te 2.75
Li 0.5000 0.5000 0.5000  1 Ag 2.65, 1 Te 2.75
Ag 0.0000 0.0000 0.6769  1 Li 2.65, 1 Te 2.80
Ag 0.5000 0.5000 0.1769  1 Li 2.65, 1 Te 2.80
Te 0.0000 0.0000 0.3353  1 Li 2.75, 1 Ag 2.80
Te 0.5000 0.5000 0.8353  1 Li 2.75, 1 Ag 2.80

Values from the calculation:
**ΔE_f (raw)**: -9.04 kcal/mol of atoms
**Space-group type**: I4mm, No. 107

***

# 2
Density functional theory data (GGA-PBE) for an optimized crystal structure of LiAg2Te.

Cell: 4.1579 4.1579 9.1875 Å, 90.00 90.00 90.00°
Closest atoms and distances in Å follow each position.
Sites, in units of the cell vectors:
Li 0.0000 0.0000 0.0000  4 Te 2.94, 8 Ag 3.10
Li 0.5000 0.5000 0.5000  4 Te 2.94, 8 Ag 3.10
Ag 0.0000 0.5000 0.2500  4 Ag 2.94, 4 Li 3.10, 4 Te 3.10
Ag 0.0000 0.5000 0.7500  4 Ag 2.94, 4 Li 3.10, 4 Te 3.10
Ag 0.5000 0.0000 0.2500  4 Ag 2.94, 4 Li 3.10, 4 Te 3.10
Ag 0.5000 0.0000 0.7500  4 Ag 2.94, 4 Li 3.10, 4 Te 3.10
Te 0.0000 0.0000 0.5000  4 Li 2.94, 8 Ag 3.10
Te 0.5000 0.5000 0.0000  4 Li 2.94, 8 Ag 3.10

Values from the calculation:
**ΔE_f (raw)**: -5.80 kcal/mol of atoms
**Space-group type**: I4/mmm, No. 139

***

# 3
Density functional theory data (GGA-PBE) for an optimized crystal structure of LiAgTe4.

Cell: 6.0807 3.8806 7.2846 Å, 90.00 90.26 90.00°
Closest atoms and distances in Å follow each position.
Sites, in units of the cell vectors:
Li 0.0000 0.0000 0.0000  6 Te 2.92-2.94
Ag 0.5000 0.5000 0.5000  6 Te 2.94-2.95
Te 0.1660 0.0000 0.3760  1 Te 2.72, 1 Li 2.92, 2 Ag 2.95
Te 0.3317 0.5000 0.8772  1 Te 2.71, 1 Ag 2.94, 2 Li 2.94
Te 0.6683 0.5000 0.1228  1 Te 2.71, 1 Ag 2.94, 2 Li 2.94
Te 0.8340 0.0000 0.6240  1 Te 2.72, 1 Li 2.92, 2 Ag 2.95

Values from the calculation:
**ΔE_f (raw)**: -4.73 kcal/mol of atoms
**Excess energy over the best structure of this formula in the dataset**: 0 meV/atom
**Space-group type**: P2/m, No. 10

***

# 4
Density functional theory data (GGA-PBE) for an optimized crystal structure of LiAgTe4.

Cell: 6.4289 6.4289 6.4289 Å, 60.00 60.00 60.00°
Closest atoms and distances in Å follow each position.
Sites, in units of the cell vectors:
Li 0.0000 0.0000 0.0000  12 Te 3.77, 4 Ag 3.94
Ag 0.2500 0.2500 0.2500  12 Te 3.77, 4 Li 3.94
Te 0.1262 0.6246 0.6246  6 Te 3.20-3.22
Te 0.6246 0.1262 0.6246  6 Te 3.20-3.22
Te 0.6246 0.6246 0.1262  6 Te 3.20-3.22
Te 0.6246 0.6246 0.6246  6 Te 3.20-3.22

Values from the calculation:
**ΔE_f (raw)**: 5.64 kcal/mol of atoms
**Excess energy over the best structure of this formula in the dataset**: 450 meV/atom
**Space-group type**: F-43m, No. 216

***

# 5
Density functional theory data (GGA-PBE) for an optimized crystal structure of Li4AgTe.

Cell: 5.4112 5.4112 5.4112 Å, 60.00 60.00 60.00°
Closest atoms and distances in Å follow each position.
Sites, in units of the cell vectors:
Li 0.1251 0.1251 0.1251  6 Li 2.70-2.71
Li 0.1251 0.1251 0.6246  6 Li 2.70-2.71
Li 0.1251 0.6246 0.1251  6 Li 2.70-2.71
Li 0.6246 0.1251 0.1251  6 Li 2.70-2.71
Ag 0.5000 0.5000 0.5000  12 Li 3.17, 4 Te 3.31
Te 0.7500 0.7500 0.7500  12 Li 3.17, 4 Ag 3.31

Values from the calculation:
**ΔE_f (raw)**: -3.58 kcal/mol of atoms
**Space-group type**: F-43m, No. 216

***

# 6
Density functional theory data (GGA-PBE) for an optimized crystal structure of LiAgTe4.

Cell: 4.9151 4.1163 8.6842 Å, 90.00 94.14 90.00°
Closest atoms and distances in Å follow each position.
Sites, in units of the cell vectors:
Li 0.0000 0.0000 0.0000  6 Te 2.79-3.07
Ag 0.0000 0.5000 0.5000  2 Te 2.75
Te 0.2564 0.5000 0.2292  1 Ag 2.75, 2 Li 3.07
Te 0.2731 0.0000 0.7288  1 Li 2.79, 2 Te 3.10, 2 Ag 3.10
Te 0.7269 0.0000 0.2712  1 Li 2.79, 2 Te 3.10, 2 Ag 3.10
Te 0.7436 0.5000 0.7708  1 Ag 2.75, 2 Li 3.07

Values from the calculation:
**ΔE_f (raw)**: -4.37 kcal/mol of atoms
**Excess energy over the best structure of this formula in the dataset**: 15 meV/atom
**Space-group type**: P2/m, No. 10

***

# 7
Density functional theory data (GGA-PBE) for an optimized crystal structure of LiAg2Te.

Cell: 3.0882 3.0882 30.2757 Å, 90.00 90.00 120.00°
Closest atoms and distances in Å follow each position.
Sites, in units of the cell vectors:
Li 0.0000 0.0000 0.0000  6 Ag 2.78, 6 Li 3.09
Li 0.3333 0.6667 0.6667  6 Ag 2.78, 6 Li 3.09
Li 0.6667 0.3333 0.3333  6 Ag 2.78, 6 Li 3.09
Ag 0.0000 0.0000 0.2630  3 Li 2.78, 6 Ag 3.09
Ag 0.0000 0.0000 0.7370  3 Li 2.78, 6 Ag 3.09
Ag 0.3333 0.6667 0.4037  3 Li 2.78, 6 Ag 3.09
Ag 0.3333 0.6667 0.9296  3 Li 2.78, 6 Ag 3.09
Ag 0.6667 0.3333 0.0704  3 Li 2.78, 6 Ag 3.09
Ag 0.6667 0.3333 0.5963  3 Li 2.78, 6 Ag 3.09
Te 0.0000 0.0000 0.5000  6 Te 3.09, 6 Ag 3.42
Te 0.3333 0.6667 0.1667  6 Te 3.09, 6 Ag 3.42
Te 0.6667 0.3333 0.8333  6 Te 3.09, 6 Ag 3.42

Values from the calculation:
**ΔE_f (raw)**: 1.28 kcal/mol of atoms
**Space-group type**: R-3m, No. 166

***

# 8
Density functional theory data (GGA-PBE) for an optimized crystal structure of Li3Th2AgTe6.

Cell: 7.6228 7.6228 7.5000 Å, 99.80 99.80 120.03°
Closest atoms and distances in Å follow each position.
Sites, in units of the cell vectors:
Li 0.0000 0.0000 0.0000  6 Te 3.03-3.06
Li 0.3287 0.6713 0.0000  6 Te 3.02-3.09
Li 0.6713 0.3287 0.0000  6 Te 3.02-3.09
Th 0.1661 0.8339 0.5000  6 Te 3.13
Th 0.8339 0.1661 0.5000  6 Te 3.13
Ag 0.5000 0.5000 0.5000  6 Te 3.12-3.16
Te 0.0811 0.4143 0.2419  3 Li 3.02-3.06, 1 Ag 3.12, 2 Th 3.13
Te 0.2525 0.2525 0.7630  3 Li 3.03-3.09, 2 Th 3.13, 1 Ag 3.16
Te 0.4143 0.0811 0.2419  3 Li 3.02-3.06, 1 Ag 3.12, 2 Th 3.13
Te 0.5857 0.9189 0.7581  3 Li 3.02-3.06, 1 Ag 3.12, 2 Th 3.13
Te 0.7475 0.7475 0.2370  3 Li 3.03-3.09, 2 Th 3.13, 1 Ag 3.16
Te 0.9189 0.5857 0.7581  3 Li 3.02-3.06, 1 Ag 3.12, 2 Th 3.13

Values from the calculation:
**ΔE_f (raw)**: -22.15 kcal/mol of atoms
**Space-group type**: C2/m, No. 12

***

# 9
Density functional theory data (GGA-PBE) for an optimized crystal structure of Li4Th3AgTe8.

Cell: 8.7051 8.7051 8.7051 Å, 60.38 60.38 60.38°
Closest atoms and distances in Å follow each position.
Sites, in units of the cell vectors:
Li 0.0000 0.0000 0.0000  6 Te 3.07
Li 0.0000 0.5000 0.5000  6 Te 3.00-3.04
Li 0.5000 0.0000 0.5000  6 Te 3.00-3.04
Li 0.5000 0.5000 0.0000  6 Te 3.00-3.04
Th 0.0000 0.0000 0.5000  6 Te 3.13-3.18
Th 0.0000 0.5000 0.0000  6 Te 3.13-3.18
Th 0.5000 0.0000 0.0000  6 Te 3.13-3.18
Ag 0.5000 0.5000 0.5000  6 Te 3.11
Te 0.2485 0.2485 0.7439  3 Li 3.04-3.07, 1 Ag 3.11, 2 Th 3.13
Te 0.2485 0.7439 0.2485  3 Li 3.04-3.07, 1 Ag 3.11, 2 Th 3.13
Te 0.2561 0.7515 0.7515  3 Li 3.04-3.07, 1 Ag 3.11, 2 Th 3.13
Te 0.2571 0.2571 0.2571  3 Li 3.00, 3 Th 3.18
Te 0.7429 0.7429 0.7429  3 Li 3.00, 3 Th 3.18
Te 0.7439 0.2485 0.2485  3 Li 3.04-3.07, 1 Ag 3.11, 2 Th 3.13
Te 0.7515 0.2561 0.7515  3 Li 3.04-3.07, 1 Ag 3.11, 2 Th 3.13
Te 0.7515 0.7515 0.2561  3 Li 3.04-3.07, 1 Ag 3.11, 2 Th 3.13

Values from the calculation:
**ΔE_f (raw)**: -22.54 kcal/mol of atoms
**Space-group type**: R-3m, No. 166

***

# 10
Density functional theory data (GGA-PBE) for an optimized crystal structure of LiTh2AgTe5.

Cell: 9.4902 9.4902 12.4964 Å, 90.00 90.00 152.86°
Closest atoms and distances in Å follow each position.
Sites, in units of the cell vectors:
Li 0.0894 0.9106 0.5000  5 Te 2.66-2.96, 2 Ag 2.87
Li 0.9106 0.0894 0.0000  5 Te 2.66-2.96, 2 Ag 2.87
Th 0.3813 0.6187 0.6968  8 Te 3.14-3.35
Th 0.3836 0.6163 0.3067  8 Te 3.20-3.41
Th 0.6163 0.3836 0.8067  8 Te 3.20-3.41
Th 0.6187 0.3813 0.1968  8 Te 3.14-3.35
Ag 0.3125 0.6875 0.9904  2 Li 2.87, 6 Te 2.92-3.18
Ag 0.6875 0.3125 0.4904  2 Li 2.87, 6 Te 2.92-3.18
Te 0.0121 0.9879 0.3081  1 Li 2.79
Te 0.1507 0.8493 0.0070  1 Ag 2.99, 2 Th 3.31
Te 0.2008 0.7992 0.6709  1 Li 2.96, 2 Ag 3.18, 2 Th 3.20
Te 0.2046 0.7954 0.3413  1 Li 2.91, 2 Ag 2.92
Te 0.4682 0.5318 0.0794  2 Li 2.66
Te 0.5318 0.4682 0.5794  2 Li 2.66
Te 0.7954 0.2046 0.8413  1 Li 2.91, 2 Ag 2.92
Te 0.7992 0.2008 0.1709  1 Li 2.96, 2 Ag 3.18, 2 Th 3.20
Te 0.8493 0.1507 0.5070  1 Ag 2.99, 2 Th 3.31
Te 0.9879 0.0121 0.8081  1 Li 2.79

Values from the calculation:
**ΔE_f (raw)**: -21.33 kcal/mol of atoms
**Space-group type**: Cmc2_1, No. 36

***

# 11
Density functional theory data (GGA-PBE) for an optimized crystal structure of LiThAg2Te4.

Cell: 7.5157 7.6046 7.7654 Å, 90.00 90.00 90.00°
Closest atoms and distances in Å follow each position.
Sites, in units of the cell vectors:
Li 0.0000 0.0000 0.0000  4 Te 2.69
Li 0.5000 0.5000 0.5000  4 Te 2.69
Th 0.0000 0.0000 0.5000  8 Te 3.31-3.42
Th 0.5000 0.5000 0.0000  8 Te 3.31-3.42
Ag 0.0000 0.5000 0.1891  4 Te 2.75-2.82, 1 Ag 2.94
Ag 0.0000 0.5000 0.8109  4 Te 2.75-2.82, 1 Ag 2.94
Ag 0.5000 0.0000 0.3109  4 Te 2.75-2.82, 1 Ag 2.94
Ag 0.5000 0.0000 0.6891  4 Te 2.75-2.82, 1 Ag 2.94
Te 0.2151 0.2070 0.1886  1 Li 2.69, 2 Ag 2.75-2.82
Te 0.2151 0.7930 0.8114  1 Li 2.69, 2 Ag 2.75-2.82
Te 0.2849 0.2930 0.6886  1 Li 2.69, 2 Ag 2.75-2.82
Te 0.2849 0.7070 0.3114  1 Li 2.69, 2 Ag 2.75-2.82
Te 0.7151 0.2930 0.3114  1 Li 2.69, 2 Ag 2.75-2.82
Te 0.7151 0.7070 0.6886  1 Li 2.69, 2 Ag 2.75-2.82
Te 0.7849 0.2070 0.8114  1 Li 2.69, 2 Ag 2.75-2.82
Te 0.7849 0.7930 0.1886  1 Li 2.69, 2 Ag 2.75-2.82

Values from the calculation:
**ΔE_f (raw)**: -12.21 kcal/mol of atoms
**Space-group type**: I222, No. 23

***

Number 1: total DFT energy (no corrections) -18.166 eV per cell. Number 2: total DFT energy (no corrections) -23.527 eV per cell. Number 3: total DFT energy (no corrections) -18.562 eV per cell. Number 4: total DFT energy (no corrections) -15.863 eV per cell. Number 5: total DFT energy (no corrections) -14.581 eV per cell. Number 6: total DFT energy (no corrections) -18.470 eV per cell. Number 7: total DFT energy (no corrections) -31.609 eV per cell. Number 8: total DFT energy (no corrections) -53.808 eV per cell. Number 9: total DFT energy (no corrections) -73.539 eV per cell. Number 10: total DFT energy (no corrections) -87.272 eV per cell. Number 11: total DFT energy (no corrections) -63.680 eV per cell.